a) A plane-wave DFT calculation with PBE was carried out for a relaxed structure of PrSnNO.

abc: 6.9210 7.2162 5.8454
angles: 90.00 90.00 90.00
Last column: nearest neighbours and their distance in Å.
Space group Pca2_1 (No. 29)
Symmetry-distinct sites (fractional):
Pr1 0.0839 0.1613 0.0000  3 N 2.37-2.41, 1 O 2.41
Sn1 0.1178 0.6666 0.9933  2 O 2.11-2.17, 1 N 2.15
N1 0.0843 0.1215 0.5904  1 Sn 2.15, 1 Pr 2.37
O1 0.0557 0.4442 0.2170  2 Sn 2.11-2.17

Output
As for the crystal system: orthorhombic. As for the total moment: 0.00 Bohr magnetons per cell.

b) A plane-wave DFT calculation with PBE was carried out for a relaxed structure of PrSnNO.

abc: 5.0317 5.0317 5.2881
angles: 90.00 90.00 90.00
Last column: nearest neighbours and their distance in Å.
Space group P4/nmm (No. 129, origin choice 2)
Symmetry-distinct sites (fractional):
Pr1 0.2500 0.7500 0.0000  4 N 2.57, 2 O 2.64
Sn1 0.2500 0.2500 0.4955  1 N 2.10
N1 0.2500 0.2500 0.0975  1 Sn 2.10
O1 0.2500 0.7500 0.5000  4 Sn 2.52, 2 Pr 2.64

Output
As for the crystal system: tetragonal. As for the total moment: 0.00 Bohr magnetons per cell.

c) A plane-wave DFT calculation with PBE was carried out for a relaxed structure of PrSnNO.

abc: 4.2454 5.1711 5.9593
angles: 90.00 90.00 90.00
Last column: nearest neighbours and their distance in Å.
Space group Pmc2_1 (No. 26)
Symmetry-distinct sites (fractional):
Pr1 0.0000 0.1979 0.0000  2 O 2.40-2.62
Sn1 0.5000 0.3047 0.5111  2 N 2.14-2.22, 2 O 2.20
N1 0.5000 0.0317 0.2422  2 Sn 2.14-2.22
O1 0.0000 0.3116 0.6099  2 Sn 2.20, 1 Pr 2.40

Output
As for the crystal system: orthorhombic. As for the total moment: 0.00 Bohr magnetons per cell.

Decreasing stability: a), c), b)

a) A plane-wave DFT calculation with PBE was carried out for a relaxed structure of TbPrNO.

abc: 8.3124 6.9018 5.1101
angles: 90.00 90.00 90.00
Last column: nearest neighbours and their distance in Å.
Space group Pbcm (No. 57)
Symmetry-distinct sites (fractional):
Tb1 0.1199 0.0765 0.2500  1 N 2.24, 2 O 2.25-2.30
Pr1 0.3704 0.5801 0.2500  4 N 2.42-2.56, 1 O 2.45
N1 0.3637 0.5630 0.7500  1 Tb 2.24, 2 Pr 2.42-2.46
O1 0.1158 0.0975 0.7500  2 Tb 2.25-2.30, 1 Pr 2.45

Output
As for the crystal system: orthorhombic. As for the total moment: 0.01 Bohr magnetons per cell.

b) A plane-wave DFT calculation with PBE was carried out for a relaxed structure of TbPrNO.

abc: 5.0387 5.0387 4.9524
angles: 90.00 90.00 90.00
Last column: nearest neighbours and their distance in Å.
Space group P4/nmm (No. 129, origin choice 2)
Symmetry-distinct sites (fractional):
Tb1 0.2500 0.2500 0.0008  2 N 2.46-2.49, 4 O 2.52
Pr1 0.2500 0.7500 0.5000  2 O 2.48, 4 N 2.52
N1 0.2500 0.2500 0.4972  2 Tb 2.46-2.49, 4 Pr 2.52
O1 0.2500 0.7500 0.0000  2 Pr 2.48, 4 Tb 2.52

Output
As for the crystal system: tetragonal. As for the total moment: 0.01 Bohr magnetons per cell.

c) A plane-wave DFT calculation with PBE was carried out for a relaxed structure of TbPrNO.

abc: 4.3099 4.3099 8.5605
angles: 90.00 90.00 90.00
Last column: nearest neighbours and their distance in Å.
Space group P4/nmm (No. 129, origin choice 2)
Symmetry-distinct sites (fractional):
Tb1 0.2500 0.7500 0.0000  4 N 2.35
Pr1 0.2500 0.2500 0.3813  4 O 2.38
N1 0.2500 0.2500 0.8896  4 Tb 2.35
O1 0.2500 0.7500 0.5000  4 Pr 2.38

Output
As for the crystal system: tetragonal. As for the total moment: 1.53 Bohr magnetons per cell.

d) A plane-wave DFT calculation with PBE was carried out for a relaxed structure of TbPrNO.

abc: 4.0888 7.0738 5.0301
angles: 90.00 90.00 90.00
Last column: nearest neighbours and their distance in Å.
Space group Pmc2_1 (No. 26)
Symmetry-distinct sites (fractional):
Tb1 0.0000 0.1653 0.0000  3 N 2.26-2.52, 2 O 2.28
Pr1 0.5000 0.3351 0.5001  2 N 2.41, 3 O 2.52-2.53
N1 0.0000 0.1547 0.5013  3 Tb 2.26-2.52, 2 Pr 2.41
O1 0.5000 0.3081 0.9995  2 Tb 2.28, 3 Pr 2.52-2.53

Output
As for the crystal system: orthorhombic. As for the total moment: 0.01 Bohr magnetons per cell.

Decreasing stability: b), d), a), c)

a) A plane-wave DFT calculation with PBE was carried out for a relaxed structure of PrTcNO.

abc: 4.0669 5.2422 5.4685
angles: 90.00 90.00 90.00
Last column: nearest neighbours and their distance in Å.
Space group Pmc2_1 (No. 26)
Symmetry-distinct sites (fractional):
Pr1 0.0000 0.2432 0.0000  2 O 2.33-2.59
Tc1 0.5000 0.2490 0.5091  2 N 1.88-1.90, 2 O 2.07
N1 0.5000 0.0088 0.2531  2 Tc 1.88-1.90
O1 0.0000 0.3139 0.5306  2 Tc 2.07

Output
As for the crystal system: orthorhombic. As for the total moment: 0.03 Bohr magnetons per cell.

b) A plane-wave DFT calculation with PBE was carried out for a relaxed structure of PrTcNO.

abc: 3.8118 3.8118 8.1460
angles: 90.00 90.00 90.00
Last column: nearest neighbours and their distance in Å.
Space group P4/nmm (No. 129, origin choice 2)
Symmetry-distinct sites (fractional):
Pr1 0.2500 0.2500 0.1586  4 O 2.30
Tc1 0.2500 0.7500 0.5000  4 N 2.13
N1 0.2500 0.2500 0.6171  4 Tc 2.13
O1 0.2500 0.7500 0.0000  4 Pr 2.30

Output
As for the crystal system: tetragonal. As for the total moment: 0.04 Bohr magnetons per cell.

c) A plane-wave DFT calculation with PBE was carried out for a relaxed structure of PrTcNO.

abc: 6.4277 7.2281 5.0992
angles: 90.00 90.00 90.00
Last column: nearest neighbours and their distance in Å.
Space group Pca2_1 (No. 29)
Symmetry-distinct sites (fractional):
Pr1 0.0673 0.1840 0.0000  4 N 2.42-2.63, 1 O 2.67
Tc1 0.1374 0.6640 0.9927  1 N 1.86, 1 O 2.05
N1 0.0434 0.1353 0.4900  1 Tc 1.86
O1 0.1097 0.5029 0.6647  3 Tc 2.05-2.18

Output
As for the crystal system: orthorhombic. As for the total moment: 0.03 Bohr magnetons per cell.

Decreasing stability: b), a), c)

a) A plane-wave DFT calculation with PBE was carried out for a relaxed structure of PrTcNO.

abc: 3.8307 5.4815 5.2433
angles: 90.00 90.00 90.00
Last column: nearest neighbours and their distance in Å.
Space group Pmc2_1 (No. 26)
Symmetry-distinct sites (fractional):
Pr1 0.0000 0.2079 0.0000  3 N 2.55-2.70, 4 O 2.58-2.59
Tc1 0.5000 0.3228 0.4999  2 N 1.92
N1 0.0000 0.3274 0.4998  2 Tc 1.92
O1 0.5000 0.0008 0.7514  2 Tc 2.20

Output
As for the crystal system: orthorhombic. As for the total moment: 0.01 Bohr magnetons per cell.

b) A plane-wave DFT calculation with PBE was carried out for a relaxed structure of PrTcNO.

abc: 4.9618 4.9618 4.5978
angles: 90.00 90.00 90.00
Last column: nearest neighbours and their distance in Å.
Space group P4/nmm (No. 129, origin choice 2)
Symmetry-distinct sites (fractional):
Pr1 0.2500 0.7500 0.0000  2 O 2.30, 4 N 2.48
Tc1 0.2500 0.2500 0.4992  2 N 2.29-2.30, 4 O 2.48
N1 0.2500 0.2500 0.9981  2 Tc 2.29-2.30, 4 Pr 2.48
O1 0.2500 0.7500 0.5000  2 Pr 2.30, 4 Tc 2.48

Output
As for the crystal system: tetragonal. As for the total moment: 5.28 Bohr magnetons per cell.

Decreasing stability: a), b)

a) A plane-wave DFT calculation with PBE was carried out for a relaxed structure of PrTlNO.

abc: 4.1021 6.7523 6.0165
angles: 90.00 90.00 90.00
Last column: nearest neighbours and their distance in Å.
Space group Pmc2_1 (No. 26)
Symmetry-distinct sites (fractional):
Pr1 0.0000 0.1857 0.0000  2 O 2.30, 2 N 2.39
Tl1 0.5000 0.3268 0.5025  2 N 2.33-2.37, 2 O 2.53
N1 0.5000 0.3421 0.8963  2 Tl 2.33-2.37, 2 Pr 2.39
O1 0.0000 0.1370 0.3783  2 Pr 2.30, 2 Tl 2.53

Output
As for the crystal system: orthorhombic. As for the total moment: 0.01 Bohr magnetons per cell.

b) A plane-wave DFT calculation with PBE was carried out for a relaxed structure of PrTlNO.

abc: 4.2015 4.2015 8.1615
angles: 90.00 90.00 90.00
Last column: nearest neighbours and their distance in Å.
Space group P4/nmm (No. 129, origin choice 2)
Symmetry-distinct sites (fractional):
Pr1 0.2500 0.2500 0.1349  4 O 2.37
Tl1 0.2500 0.7500 0.5000  4 N 2.51
N1 0.2500 0.2500 0.6678  4 Tl 2.51
O1 0.2500 0.7500 0.0000  4 Pr 2.37

Output
As for the crystal system: tetragonal. As for the total moment: 0.00 Bohr magnetons per cell.

Decreasing stability: a), b)

a) A plane-wave DFT calculation with PBE was carried out for a relaxed structure of PrZnNO.

abc: 4.9737 4.9737 4.7102
angles: 90.00 90.00 90.00
Last column: nearest neighbours and their distance in Å.
Space group P4/nmm (No. 129, origin choice 2)
Symmetry-distinct sites (fractional):
Pr1 0.2500 0.7500 0.0000  2 O 2.36, 4 N 2.49
Zn1 0.2500 0.2500 0.4730  1 N 2.05
N1 0.2500 0.2500 0.0386  1 Zn 2.05
O1 0.2500 0.7500 0.5000  2 Pr 2.36, 4 Zn 2.49

Output
As for the crystal system: tetragonal. As for the total moment: 0.00 Bohr magnetons per cell.

b) A plane-wave DFT calculation with PBE was carried out for a relaxed structure of PrZnNO.

abc: 5.8018 7.7351 5.7433
angles: 90.00 90.00 90.00
Last column: nearest neighbours and their distance in Å.
Space group Pca2_1 (No. 29)
Symmetry-distinct sites (fractional):
Pr1 0.0313 0.1497 0.0000  4 O 2.30-2.41, 1 N 2.48
Zn1 0.1067 0.4638 0.6069  3 N 1.97-2.00
N1 0.1138 0.3857 0.2811  3 Zn 1.97-2.00
O1 0.2474 0.9746 0.2387  4 Pr 2.30-2.41

Output
As for the crystal system: orthorhombic. As for the total moment: 0.00 Bohr magnetons per cell.

c) A plane-wave DFT calculation with PBE was carried out for a relaxed structure of PrZnNO.

abc: 3.7821 3.7821 8.0225
angles: 90.00 90.00 90.00
Last column: nearest neighbours and their distance in Å.
Space group P4/nmm (No. 129, origin choice 2)
Symmetry-distinct sites (fractional):
Pr1 0.2500 0.2500 0.1633  4 O 2.30
Zn1 0.2500 0.7500 0.5000  4 N 2.17
N1 0.2500 0.2500 0.6315  4 Zn 2.17
O1 0.2500 0.7500 0.0000  4 Pr 2.30

Output
As for the crystal system: tetragonal. As for the total moment: 0.00 Bohr magnetons per cell.

d) A plane-wave DFT calculation with PBE was carried out for a relaxed structure of PrZnNO.

abc: 5.6767 7.9516 5.3031
angles: 90.00 90.00 90.00
Last column: nearest neighbours and their distance in Å.
Space group Pca2_1 (No. 29)
Symmetry-distinct sites (fractional):
Pr1 0.0262 0.1568 0.0000  1 O 2.36, 3 N 2.42-2.53
Zn1 0.0470 0.6151 0.9949  3 O 1.95-2.02, 1 N 2.01
N1 0.0481 0.1424 0.5235  1 Zn 2.01
O1 0.1225 0.5795 0.6274  3 Zn 1.95-2.02

Output
As for the crystal system: orthorhombic. As for the total moment: 0.01 Bohr magnetons per cell.

Decreasing stability: b), d), c), a)

a) A plane-wave DFT calculation with PBE was carried out for a relaxed structure of PrZnNO.

abc: 3.7650 6.0769 5.4675
angles: 90.00 90.00 90.00
Last column: nearest neighbours and their distance in Å.
Space group Pmc2_1 (No. 26)
Symmetry-distinct sites (fractional):
Pr1 0.0000 0.2110 0.0000  2 O 2.27, 2 N 2.36-2.46
Zn1 0.5000 0.2970 0.5023  2 N 2.05, 2 O 2.07-2.08
N1 0.0000 0.1743 0.4480  2 Zn 2.05
O1 0.5000 0.3847 0.8692  2 Zn 2.07-2.08, 2 Pr 2.27

Output
As for the crystal system: orthorhombic. As for the total moment: 0.00 Bohr magnetons per cell.

b) A plane-wave DFT calculation with PBE was carried out for a relaxed structure of PrZnNO.

abc: 3.4960 5.6821 5.8978
angles: 90.00 90.00 90.00
Last column: nearest neighbours and their distance in Å.
Space group Pmc2_1 (No. 26)
Symmetry-distinct sites (fractional):
Pr1 0.0000 0.2045 0.0000  2 O 2.35-2.52, 2 N 2.46
Zn1 0.5000 0.2430 0.5258  2 N 1.98-2.10, 2 O 2.03
N1 0.5000 0.0452 0.2490  2 Zn 1.98-2.10
O1 0.0000 0.3996 0.6166  2 Zn 2.03

Output
As for the crystal system: orthorhombic. As for the total moment: 0.00 Bohr magnetons per cell.

Decreasing stability: a), b)

a) A plane-wave DFT calculation with PBE was carried out for a relaxed structure of RbPtNO.

abc: 4.0028 4.0028 10.2175
angles: 90.00 90.00 90.00
Last column: nearest neighbours and their distance in Å.
Space group P4/nmm (No. 129, origin choice 2)
Symmetry-distinct sites (fractional):
Rb1 0.2500 0.2500 0.1807  4 O 2.72
Pt1 0.2500 0.7500 0.5000  4 N 2.12
N1 0.2500 0.2500 0.5698  4 Pt 2.12
O1 0.2500 0.7500 0.0000  4 Rb 2.72, 4 O 2.83

Output
As for the crystal system: tetragonal. As for the total moment: 2.49 Bohr magnetons per cell.

b) A plane-wave DFT calculation with PBE was carried out for a relaxed structure of RbPtNO.

abc: 3.5393 5.9353 6.5246
angles: 90.00 90.00 90.00
Last column: nearest neighbours and their distance in Å.
Space group Pmc2_1 (No. 26)
Symmetry-distinct sites (fractional):
Rb1 0.0000 0.0658 0.0000  2 N 2.82-2.87, 4 O 2.99-3.03
Pt1 0.5000 0.4581 0.5804  2 N 1.91, 2 O 2.03-2.10
N1 0.0000 0.3740 0.6618  2 Pt 1.91
O1 0.5000 0.2911 0.3083  2 Pt 2.03-2.10

Output
As for the crystal system: orthorhombic. As for the total moment: 0.01 Bohr magnetons per cell.

c) A plane-wave DFT calculation with PBE was carried out for a relaxed structure of RbPtNO.

abc: 4.0373 4.8533 7.4557
angles: 90.00 90.00 90.00
Last column: nearest neighbours and their distance in Å.
Space group Pmc2_1 (No. 26)
Symmetry-distinct sites (fractional):
Rb1 0.0000 0.0055 0.0000  2 O 2.73-2.74
Pt1 0.5000 0.5001 0.2513  2 N 1.86-1.87, 2 O 2.06
N1 0.5000 0.4988 0.5008  2 Pt 1.86-1.87
O1 0.0000 0.4129 0.7457  2 Pt 2.06

Output
As for the crystal system: orthorhombic. As for the total moment: 0.00 Bohr magnetons per cell.

Decreasing stability: c), b), a)